1.
# ZrSc4Te PBE optimized geometry
data_ZrSc4Te
_cell_length_a 8.372
_cell_length_b 8.372
_cell_length_c 8.372
_cell_angle_alpha 90.00
_cell_angle_beta 90.00
_cell_angle_gamma 90.00
_symmetry_space_group_name_H-M 'F -4 3 m'
_symmetry_Int_Tables_number 216
_symmetry_space_group_name_Hall 'F -4 2 3'
loop_
_atom_site_label
_atom_site_fract_x
_atom_site_fract_y
_atom_site_fract_z
Zr1 0.000 0.000 0.000
Sc1 0.127 0.127 0.627
Te1 0.250 0.250 0.250
# **Raw formation energy**: 0.14 eV per atom
# **Density**: 4.5 g cm⁻³

2.
# Tb2Sm6Tm3Th PBE optimized geometry
data_Tb2Sm6Tm3Th
_cell_length_a 6.205
_cell_length_b 10.738
_cell_length_c 11.852
_cell_angle_alpha 90.00
_cell_angle_beta 100.05
_cell_angle_gamma 90.00
_symmetry_space_group_name_H-M 'C 1 2/m 1'
_symmetry_Int_Tables_number 12
_symmetry_space_group_name_Hall '-C 2y'
loop_
_atom_site_label
_atom_site_fract_x
_atom_site_fract_y
_atom_site_fract_z
Tb1 0.000 0.167 0.000
Sm1 0.246 0.500 0.749
Sm2 0.249 0.335 0.251
Tm1 0.000 0.000 0.500
Tm2 0.000 0.333 0.500
Th1 0.000 0.500 0.000
# **Calculated total energy**: -116.03 eV for the cell shown
# **Density**: 8.4 g cm⁻³

3.
# DyHoPt PBE optimized geometry
data_DyHoPt
_cell_length_a 7.143
_cell_length_b 4.762
_cell_length_c 8.794
_cell_angle_alpha 90.00
_cell_angle_beta 90.00
_cell_angle_gamma 90.00
_symmetry_space_group_name_H-M 'P n m a'
_symmetry_Int_Tables_number 62
_symmetry_space_group_name_Hall '-P 2ac 2n'
loop_
_atom_site_label
_atom_site_fract_x
_atom_site_fract_y
_atom_site_fract_z
Dy1 0.144 0.250 0.081
Ho1 0.009 0.250 0.666
Pt1 0.240 0.250 0.407
# **Calculated total energy**: -72.38 eV for the cell shown
# **Density**: 11.6 g cm⁻³

4.
# Li4Tl7Hg PBE optimized geometry
data_Li4Tl7Hg
_cell_length_a 14.356
_cell_length_b 5.649
_cell_length_c 9.408
_cell_angle_alpha 90.00
_cell_angle_beta 125.86
_cell_angle_gamma 90.00
_symmetry_space_group_name_H-M 'C 1 2/m 1'
_symmetry_Int_Tables_number 12
_symmetry_space_group_name_Hall '-C 2y'
loop_
_atom_site_label
_atom_site_fract_x
_atom_site_fract_y
_atom_site_fract_z
Li1 0.046 0.000 0.227
Li2 0.190 0.000 0.856
Tl1 0.000 0.000 0.500
Tl2 0.063 0.500 0.897
Tl3 0.221 0.500 0.385
Tl4 0.230 0.000 0.192
Hg1 0.000 0.500 0.500
# **Calculated total energy**: -50.26 eV for the cell shown
# **Density**: 8.9 g cm⁻³